Here is crystalline MgTi2 at its relaxed geometry from the Alexandria database. Energies are from GGA-PBEsol.

- Spin magnetization: 0.00 μB per formula unit
- Theoretical density: 3.65 g cm⁻³
- Energy of formation: 7.1 kJ per mole of atoms

Geometry as CIF:
```
data_MgTi2
_cell_length_a 2.847
_cell_length_b 5.589
_cell_length_c 7.336
_cell_angle_alpha 104.29
_cell_angle_beta 90.00
_cell_angle_gamma 104.76
_symmetry_space_group_name_H-M 'P 1'
_symmetry_Int_Tables_number 1
loop_
_symmetry_equiv_pos_as_xyz
'x,y,z'
loop_
_atom_site_label
_atom_site_fract_x
_atom_site_fract_y
_atom_site_fract_z
_atom_site_occupancy
Ti1 0.305 0.610 0.869 1
Ti2 0.959 0.919 0.159 1
Ti3 0.041 0.081 0.841 1
Ti4 0.695 0.390 0.131 1
Mg1 0.367 0.734 0.483 1
Mg2 0.633 0.266 0.517 1
```